1.
First-principles (PBE) data for DyEr2Mg2Sc2 after structural relaxation, as listed in Alexandria.

abc: 5.2760 5.2760 23.1240
angles: 90.00 90.00 120.00
Space group R-3m (No. 166, hexagonal axes)
Asymmetric unit:
Dy1 0.0000 0.0000 0.0000 [3 per cell]
Er1 0.0000 0.0000 0.1541 [6 per cell]
Mg1 0.0000 0.0000 0.2896 [6 per cell]
Sc1 0.0000 0.0000 0.4287 [6 per cell]

## Properties
Fermi-level density of states, states/eV/f.u.: 8.49
Energy relative to the elements, eV per formula unit: 0.095
Density, g cm⁻³: 5.68


2.
First-principles (PBE) data for TlTe2Pb after structural relaxation, as listed in Alexandria.

abc: 3.353 6.289 6.296
angles: 90.00 90.04 90.00
Space group Pm (No. 6)
Asymmetric unit:
Tl1 0.000 0.000 0.000 [1 per cell]
Te1 0.484 0.500 0.999 [1 per cell]
Te2 0.487 0.000 0.502 [1 per cell]
Pb1 0.752 0.500 0.488 [1 per cell]

## Properties
Fermi-level density of states, states/eV/f.u.: 0.70
Density, g cm⁻³: 8.34
E_form (uncorrected), meV per atom: -197


3.
First-principles (PBE) data for HfP2NO after structural relaxation, as listed in Alexandria.

abc: 3.508 3.508 5.099
angles: 90.00 90.00 90.00
Space group P4/mmm (No. 123)
Asymmetric unit:
Hf1 0.000 0.000 0.000 [1 per cell]
P1 0.000 0.500 0.500 [2 per cell]
N1 0.500 0.500 0.500 [1 per cell]
O1 0.500 0.500 0.000 [1 per cell]

## Properties
Fermi-level density of states, states/eV/f.u.: 3.17
Density, g cm⁻³: 7.16
E_form (uncorrected), meV per atom: 96


4.
First-principles (PBE) data for Ac4SbS3 after structural relaxation, as listed in Alexandria.

abc: 4.3616 4.3616 15.0421
angles: 90.00 90.00 120.00
Space group P-3m1 (No. 164)
Asymmetric unit:
Ac1 0.3333 0.6667 0.3594 [2 per cell]
Ac2 0.3333 0.6667 0.8803 [2 per cell]
Sb1 0.0000 0.0000 0.5000 [1 per cell]
S1 0.0000 0.0000 0.0000 [1 per cell]
S2 0.0000 0.0000 0.2371 [2 per cell]

## Properties
Fermi-level density of states, states/eV/f.u.: 3.52
Density, g cm⁻³: 7.54
E_form (uncorrected), meV per atom: -1721